# 1
First-principles (meta-GGA SCAN) data for a crystal of Re3PbSe6 relaxed with PBEsol, as listed in Alexandria.

Computed properties:
Its formation energy (no corrections) is -0.409 eV/atom. The space group is No. 9.

Cell: 9.667 9.667 12.123 Å, 90.07 90.07 60.27°
Sites, in units of the cell vectors:
Re1 0.100 0.900 0.500
Re2 0.184 0.813 0.707
Re3 0.283 0.986 0.606
Re4 0.306 0.600 0.547
Re5 0.402 0.775 0.444
Re6 0.487 0.689 0.653
Re7 0.600 0.306 0.047
Re8 0.689 0.487 0.153
Re9 0.775 0.402 0.944
Re10 0.813 0.184 0.207
Re11 0.900 0.100 0.000
Re12 0.986 0.283 0.106
Pb1 0.030 0.531 0.801
Pb2 0.179 0.633 0.073
Pb3 0.531 0.030 0.301
Pb4 0.633 0.179 0.573
Se1 0.014 0.722 0.599
Se2 0.027 0.835 0.887
Se3 0.065 0.203 0.909
Se4 0.099 0.994 0.158
Se5 0.203 0.065 0.409
Se6 0.221 0.693 0.352
Se7 0.239 0.283 0.164
Se8 0.283 0.239 0.664
Se9 0.311 0.344 0.490
Se10 0.344 0.311 0.990
Se11 0.365 0.894 0.802
Se12 0.385 0.525 0.745
Se13 0.491 0.601 0.997
Se14 0.521 0.758 0.250
Se15 0.525 0.385 0.245
Se16 0.574 0.864 0.550
Se17 0.601 0.491 0.497
Se18 0.693 0.221 0.852
Se19 0.722 0.014 0.099
Se20 0.758 0.521 0.750
Se21 0.835 0.027 0.387
Se22 0.864 0.574 0.050
Se23 0.894 0.365 0.302
Se24 0.994 0.099 0.658

***

# 2
First-principles (meta-GGA SCAN) data for a crystal of BaMn2In relaxed with PBEsol, as listed in Alexandria.

Computed properties:
The space group is No. 119. Its formation energy is 0.211 eV per atom.

Cell: 5.214 5.214 5.214 Å, 120.79 120.79 88.64°
Sites, in units of the cell vectors:
Ba1 0.000 0.000 0.000
Mn1 0.500 0.500 0.000
Mn2 0.750 0.250 0.500
In1 0.250 0.750 0.500

***

# 3
First-principles (meta-GGA SCAN) data for a crystal of Zr2SbAs relaxed with PBEsol, as listed in Alexandria.

Computed properties:
Its formation energy (no corrections) is -0.890 eV/atom. The space group is No. 99.

Cell: 3.812 3.812 5.911 Å, 90.00 90.00 90.00°
Sites, in units of the cell vectors:
Zr1 0.000 0.000 0.000
Zr2 0.500 0.500 0.348
Sb1 0.500 0.500 0.847
As1 0.000 0.000 0.467

***

> Number 2 is which compound?

BaMn2In